A relaxed structure of Li2TlSeBr. Source: Alexandria via LeMat-Bulk, functional GGA-PBE.

a = 4.830 Å, b = 4.830 Å, c = 6.551 Å
α = 90.00°, β = 90.00°, γ = 90.00°
Space group P4/mmm (No. 123)
Unique sites:
Li (0.000, 0.500, 0.000)
Tl (0.000, 0.000, 0.500)
Se (0.000, 0.000, 0.000)
Br (0.500, 0.500, 0.500)

Summary:
* size of the total moment: 0.00 μB per atom
* raw formation energy: -0.915 eV per atom